# Nd6Dy3Er2Tm

An optimized crystal structure of Nd6Dy3Er2Tm (PBE-GGA, Alexandria via LeMat-Bulk).

Output
- Formation energy from the elements: 0.0125 eV per atom
- Magnetization: 0.00 μB/f.u.

Cell: 6.256 6.256 11.809 Å, 95.05 95.05 119.99°
Fractional coordinates of all 12 atoms:
Nd 0.083 0.417 0.751
Nd 0.250 0.250 0.249
Nd 0.417 0.083 0.751
Nd 0.583 0.917 0.249
Nd 0.750 0.750 0.751
Nd 0.917 0.583 0.249
Dy 0.000 0.000 0.500
Dy 0.333 0.667 0.500
Dy 0.667 0.333 0.500
Er 0.167 0.833 0.000
Er 0.833 0.167 0.000
Tm 0.500 0.500 0.000